The following is a GGA-PBE calculation of a relaxed Ba2Li12Mg3Au crystal, from Alexandria via LeMat-Bulk.

Values from the calculation:
crystal system: trigonal
formation enthalpy at 0 K: 0.061 eV per atom
density of states at the Fermi level: 8.0 states/eV/f.u.
total magnetic moment: 0.00 μB per atom
SG: R-3m, No. 166

a b c (Å): 11.3382 11.3382 11.3382
angles (deg): 36.21 36.21 36.21
Last column: nearest neighbours and their distance in Å.
Element x y z (fractional)
Ba: 0.6547 0.6547 0.6547  12 Li 3.57-4.00
Ba: 0.3453 0.3453 0.3453  12 Li 3.57-4.00
Li: 0.4204 0.4204 0.8081  4 Li 2.73-2.88, 2 Mg 2.79
Li: 0.9367 0.9367 0.3368  1 Au 2.76, 4 Li 2.82-2.88
Li: 0.3368 0.9367 0.9367  1 Au 2.76, 4 Li 2.82-2.88
Li: 0.8081 0.4204 0.4204  4 Li 2.73-2.88, 2 Mg 2.79
Li: 0.9367 0.3368 0.9367  1 Au 2.76, 4 Li 2.82-2.88
Li: 0.4204 0.8081 0.4204  4 Li 2.73-2.88, 2 Mg 2.79
Li: 0.5796 0.5796 0.1919  4 Li 2.73-2.88, 2 Mg 2.79
Li: 0.0633 0.0633 0.6632  1 Au 2.76, 4 Li 2.82-2.88
Li: 0.6632 0.0633 0.0633  1 Au 2.76, 4 Li 2.82-2.88
Li: 0.1919 0.5796 0.5796  4 Li 2.73-2.88, 2 Mg 2.79
Li: 0.0633 0.6632 0.0633  1 Au 2.76, 4 Li 2.82-2.88
Li: 0.5796 0.1919 0.5796  4 Li 2.73-2.88, 2 Mg 2.79
Mg: 0.5000 0.0000 0.0000  6 Li 2.79-3.09
Mg: 0.0000 0.5000 0.0000  6 Li 2.79-3.09
Mg: 0.0000 0.0000 0.5000  6 Li 2.79-3.09
Au: 0.0000 0.0000 0.0000  6 Li 2.76

=====

The following is a GGA-PBE calculation of a relaxed Sb4Pd crystal, from Alexandria via LeMat-Bulk.

Values from the calculation:
crystal system: monoclinic
density of states at the Fermi level: 1.9 states/eV/f.u.
total magnetic moment: 0.00 μB per atom
SG: P2_1/c, No. 14
polymorph energy (0 for the lowest one): 0 meV per atom
raw formation energy: -0.139 eV per atom

a b c (Å): 5.9163 5.9397 7.8717
angles (deg): 101.75 90.00 90.00
Last column: nearest neighbours and their distance in Å.
Element x y z (fractional)
Sb: 0.3155 0.1956 0.2462  2 Pd 2.73-2.77, 2 Sb 2.90-2.91
Sb: 0.8155 0.8044 0.2538  2 Pd 2.73-2.77, 2 Sb 2.90-2.91
Sb: 0.6845 0.8044 0.7538  2 Pd 2.73-2.77, 2 Sb 2.90-2.91
Sb: 0.1845 0.1956 0.7462  2 Pd 2.73-2.77, 2 Sb 2.90-2.91
Sb: 0.8166 0.3542 0.5567  1 Pd 2.78, 3 Sb 2.90-3.02
Sb: 0.3166 0.6458 0.9433  1 Pd 2.78, 3 Sb 2.90-3.02
Sb: 0.1834 0.6458 0.4433  1 Pd 2.78, 3 Sb 2.90-3.02
Sb: 0.6834 0.3542 0.0567  1 Pd 2.78, 3 Sb 2.90-3.02
Pd: 0.0000 0.0000 0.0000  6 Sb 2.73-2.78
Pd: 0.5000 0.0000 0.5000  6 Sb 2.73-2.78

=====

The following is a GGA-PBE calculation of a relaxed CuHSe crystal, from Alexandria via LeMat-Bulk.

Values from the calculation:
crystal system: monoclinic
density of states at the Fermi level: 1.4 states/eV/f.u.
total magnetic moment: 0.00 μB per atom
SG: C2/m, No. 12
polymorph energy (0 for the lowest one): 260 meV per atom

a b c (Å): 2.6422 6.5047 6.1868
angles (deg): 116.25 90.00 101.72
Last column: nearest neighbours and their distance in Å.
Element x y z (fractional)
Cu: 0.6354 0.2709 0.7261  2 H 1.66
Cu: 0.3646 0.7291 0.2739  2 H 1.66
H: 0.1197 0.2395 0.5528  2 Cu 1.66
H: 0.8803 0.7605 0.4472  2 Cu 1.66
Se: 0.8731 0.7462 0.9352  3 Cu 2.52-2.70, 2 Se 2.64
Se: 0.1269 0.2538 0.0648  3 Cu 2.52-2.70, 2 Se 2.64

=====

The following is a GGA-PBE calculation of a relaxed Tb6Pr5 crystal, from Alexandria via LeMat-Bulk.

Values from the calculation:
crystal system: monoclinic
formation enthalpy at 0 K: 0.134 eV per atom
density of states at the Fermi level: 12.7 states/eV/f.u.
total magnetic moment: 0.00 μB per atom
SG: C2/m, No. 12
polymorph energy (0 for the lowest one): 21 meV per atom

a b c (Å): 9.1926 8.1087 6.4987
angles (deg): 79.95 72.06 55.47
Last column: nearest neighbours and their distance in Å.
Element x y z (fractional)
Tb: 0.8369 0.0000 0.6908  3 Tb 3.25-3.55, 4 Pr 3.58-3.59
Tb: 0.1631 0.0000 0.3092  3 Tb 3.25-3.55, 4 Pr 3.58-3.59
Tb: 0.3038 0.7436 0.8264  3 Tb 3.32-3.55, 5 Pr 3.37-3.62
Tb: 0.9526 0.7436 0.1736  3 Tb 3.32-3.55, 5 Pr 3.37-3.62
Tb: 0.6962 0.2564 0.1736  3 Tb 3.32-3.55, 5 Pr 3.37-3.62
Tb: 0.0474 0.2564 0.8264  3 Tb 3.32-3.55, 5 Pr 3.37-3.62
Pr: 0.5000 0.0000 0.5000  6 Pr 3.49-3.69, 6 Tb 3.53-3.67
Pr: 0.3691 0.2618 0.0000  5 Pr 3.50-3.69, 6 Tb 3.50-3.62
Pr: 0.6309 0.7382 0.0000  5 Pr 3.50-3.69, 6 Tb 3.50-3.62
Pr: 0.2384 0.5231 0.5000  6 Tb 3.37-3.58, 3 Pr 3.49-3.69
Pr: 0.7616 0.4769 0.5000  6 Tb 3.37-3.58, 3 Pr 3.49-3.69

=====

The following is a GGA-PBE calculation of a relaxed ErPdPtRh crystal, from Alexandria via LeMat-Bulk.

Values from the calculation:
crystal system: cubic
formation enthalpy at 0 K: -0.634 eV per atom
density of states at the Fermi level: 2.4 states/eV/f.u.
total magnetic moment: 0.00 μB per atom
SG: F-43m, No. 216
polymorph energy (0 for the lowest one): 176 meV per atom

a b c (Å): 4.6069 4.6069 4.6069
angles (deg): 60.00 60.00 60.00
Last column: nearest neighbours and their distance in Å.
Element x y z (fractional)
Rh: 0.0000 0.0000 0.0000  4 Pt 2.82, 4 Er 2.82
Pd: 0.5000 0.5000 0.5000  4 Er 2.82, 4 Pt 2.82
Pt: 0.2500 0.2500 0.2500  4 Rh 2.82, 4 Pd 2.82
Er: 0.7500 0.7500 0.7500  4 Rh 2.82, 4 Pd 2.82

=====

The following is a GGA-PBE calculation of a relaxed LaBiPt2Br crystal, from Alexandria via LeMat-Bulk.

Values from the calculation:
crystal system: tetragonal
density of states at the Fermi level: 7.5 states/eV/f.u.
total magnetic moment: 0.00 μB per atom
SG: P4/mmm, No. 123
raw formation energy: 0.116 eV per atom

a b c (Å): 5.0841 6.3292 5.0841
angles (deg): 90.00 90.00 90.00
Last column: nearest neighbours and their distance in Å.
Element x y z (fractional)
Br: 0.5000 0.5000 0.5000  4 La 3.59
Bi: 0.0000 0.0000 0.0000  4 Pt 2.54
Pt: 0.0000 0.0000 0.5000  2 Bi 2.54
Pt: 0.5000 0.0000 0.0000  2 Bi 2.54
La: 0.0000 0.5000 0.0000  2 Bi 3.16